The following is a DFT calculation (PBE) of an optimized crystal structure of La6Tm5.

Computed properties:
ΔH_f (0 K) = 0.16 eV per atom
spin magnetization = 0.00 μB/atom
distance to the lowest polymorph of the same formula = 0.0465 eV/atom

Cell lengths 7.971, 7.971, 6.230 Å; angles 98.26, 98.26, 86.17 degrees
Fractional positions:
La (0.075, 0.401, 0.244)
La (0.246, 0.246, 0.745)
La (0.401, 0.075, 0.244)
La (0.599, 0.925, 0.756)
La (0.754, 0.754, 0.255)
La (0.925, 0.599, 0.756)
Tm (0.175, 0.825, 0.500)
Tm (0.343, 0.657, 0.000)
Tm (0.500, 0.500, 0.500)
Tm (0.657, 0.343, 0.000)
Tm (0.825, 0.175, 0.500)